1.
PmHo2Er9 after structural relaxation, computed with PBE. Values from VASP.

Values from the calculation:
electronic total energy = -4.56 eV per atom
space group = P4/mmm, No. 123
crystal system = tetragonal
ΔE to the lowest computed polymorph = 0 meV/atom
size of the total moment = 0.0 μB per formula unit
ΔE_f = 2 kJ/mol of atoms

Quantum ESPRESSO input file:
```
&SYSTEM
  ibrav = 0, nat = 12, ntyp = 3
/
ATOMIC_SPECIES
Pm 145.00 Pm.upf
Ho 164.93 Ho.upf
Er 167.26 Er.upf
CELL_PARAMETERS angstrom
4.979 0.000 0.000
0.000 4.979 0.000
0.000 0.000 14.941
ATOMIC_POSITIONS crystal
Pm 0.000 0.000 0.000
Ho 0.000 0.000 0.334
Ho 0.000 0.000 0.666
Er 0.000 0.500 0.168
Er 0.000 0.500 0.500
Er 0.000 0.500 0.832
Er 0.500 0.000 0.168
Er 0.500 0.000 0.500
Er 0.500 0.000 0.832
Er 0.500 0.500 0.000
Er 0.500 0.500 0.335
Er 0.500 0.500 0.665
```


2.
Pm3HoEr4 after structural relaxation, computed with PBE. Values from VASP.

Values from the calculation:
electronic total energy = -4.62 eV per atom
space group = Pmn2_1, No. 31
crystal system = orthorhombic
ΔE to the lowest computed polymorph = 0 meV/atom
size of the total moment = 0.0 μB per formula unit
ΔE_f = 2 kJ/mol of atoms

Quantum ESPRESSO input file:
```
&SYSTEM
  ibrav = 0, nat = 16, ntyp = 3
/
ATOMIC_SPECIES
Pm 145.00 Pm.upf
Ho 164.93 Ho.upf
Er 167.26 Er.upf
CELL_PARAMETERS angstrom
11.351 0.000 0.000
0.000 7.280 0.000
0.000 0.000 6.277
ATOMIC_POSITIONS crystal
Pm 0.000 0.127 0.000
Pm 0.250 0.127 0.334
Pm 0.250 0.873 0.834
Pm 0.500 0.873 0.500
Pm 0.750 0.127 0.334
Pm 0.750 0.873 0.834
Ho 0.000 0.871 0.499
Ho 0.500 0.129 0.999
Er 0.000 0.377 0.501
Er 0.000 0.621 0.000
Er 0.248 0.622 0.333
Er 0.252 0.378 0.833
Er 0.500 0.379 0.500
Er 0.500 0.623 0.001
Er 0.748 0.378 0.833
Er 0.752 0.622 0.333
```


3.
Pm3Ho4Er4 after structural relaxation, computed with PBE. Values from VASP.

Values from the calculation:
electronic total energy = -4.56 eV per atom
space group = P-1, No. 2
crystal system = triclinic
size of the total moment = 0.0 μB per formula unit
ΔE_f = 5 kJ/mol of atoms

Quantum ESPRESSO input file:
```
&SYSTEM
  ibrav = 0, nat = 11, ntyp = 3
/
ATOMIC_SPECIES
Pm 145.00 Pm.upf
Ho 164.93 Ho.upf
Er 167.26 Er.upf
CELL_PARAMETERS angstrom
3.476 0.000 0.000
0.001 5.626 0.000
1.731 2.805 17.848
ATOMIC_POSITIONS crystal
Pm 0.000 0.000 0.000
Pm 0.138 0.637 0.726
Pm 0.862 0.363 0.274
Ho 0.318 0.818 0.363
Ho 0.454 0.454 0.092
Ho 0.546 0.546 0.908
Ho 0.682 0.182 0.637
Er 0.266 0.266 0.467
Er 0.408 0.909 0.182
Er 0.592 0.091 0.818
Er 0.734 0.734 0.533
```


4.
PmHo6Er3 after structural relaxation, computed with PBE. Values from VASP.

Values from the calculation:
electronic total energy = -4.31 eV per atom
space group = R3, No. 146
crystal system = trigonal
ΔE to the lowest computed polymorph = 129 meV/atom
size of the total moment = 0.0 μB per formula unit
ΔE_f = 27 kJ/mol of atoms

Quantum ESPRESSO input file:
```
&SYSTEM
  ibrav = 0, nat = 10, ntyp = 3
/
ATOMIC_SPECIES
Pm 145.00 Pm.upf
Ho 164.93 Ho.upf
Er 167.26 Er.upf
CELL_PARAMETERS angstrom
4.868 2.811 3.898
-4.868 2.811 3.898
0.000 -5.621 3.898
ATOMIC_POSITIONS crystal
Pm 0.000 0.000 0.000
Ho 0.009 0.338 0.670
Ho 0.173 0.837 0.510
Ho 0.338 0.670 0.009
Ho 0.510 0.173 0.837
Ho 0.670 0.009 0.338
Ho 0.837 0.510 0.173
Er 0.247 0.247 0.247
Er 0.498 0.498 0.498
Er 0.742 0.742 0.742
```


5.
Pm6Ho2Er after structural relaxation, computed with PBE. Values from VASP.

Values from the calculation:
electronic total energy = -4.61 eV per atom
space group = C2/c, No. 15
crystal system = monoclinic
ΔE to the lowest computed polymorph = 0 meV/atom
size of the total moment = 0.0 μB per formula unit
ΔE_f = 8 kJ/mol of atoms

Quantum ESPRESSO input file:
```
&SYSTEM
  ibrav = 0, nat = 18, ntyp = 3
/
ATOMIC_SPECIES
Pm 145.00 Pm.upf
Ho 164.93 Ho.upf
Er 167.26 Er.upf
CELL_PARAMETERS angstrom
8.178 -5.886 0.000
8.178 5.886 0.000
-0.652 0.000 6.182
ATOMIC_POSITIONS crystal
Pm 0.094 0.812 0.986
Pm 0.146 0.427 0.153
Pm 0.188 0.906 0.514
Pm 0.240 0.522 0.680
Pm 0.427 0.146 0.653
Pm 0.478 0.760 0.820
Pm 0.522 0.240 0.180
Pm 0.573 0.854 0.347
Pm 0.760 0.478 0.320
Pm 0.812 0.094 0.486
Pm 0.854 0.573 0.847
Pm 0.906 0.188 0.014
Ho 0.068 0.266 0.583
Ho 0.266 0.068 0.083
Ho 0.734 0.932 0.917
Ho 0.932 0.734 0.417
Er 0.401 0.599 0.250
Er 0.599 0.401 0.750
```


6.
Pm2Ho5Er after structural relaxation, computed with PBE. Values from VASP.

Values from the calculation:
electronic total energy = -4.60 eV per atom
space group = Pbam, No. 55
crystal system = orthorhombic
ΔE to the lowest computed polymorph = 0 meV/atom
size of the total moment = 0.0 μB per formula unit
ΔE_f = 2 kJ/mol of atoms

Quantum ESPRESSO input file:
```
&SYSTEM
  ibrav = 0, nat = 16, ntyp = 3
/
ATOMIC_SPECIES
Pm 145.00 Pm.upf
Ho 164.93 Ho.upf
Er 167.26 Er.upf
CELL_PARAMETERS angstrom
7.107 0.000 0.000
0.000 14.215 0.000
0.000 0.000 5.018
ATOMIC_POSITIONS crystal
Pm 0.250 0.125 0.000
Pm 0.250 0.625 0.000
Pm 0.750 0.375 0.000
Pm 0.750 0.875 0.000
Ho 0.000 0.000 0.500
Ho 0.001 0.250 0.500
Ho 0.250 0.375 0.000
Ho 0.250 0.875 0.000
Ho 0.499 0.750 0.500
Ho 0.500 0.500 0.500
Ho 0.501 0.250 0.500
Ho 0.750 0.125 0.000
Ho 0.750 0.625 0.000
Ho 0.999 0.750 0.500
Er 0.000 0.500 0.500
Er 0.500 0.000 0.500
```